# SCAN Rb3HgAu, PBEsol geometry
data_Rb3HgAu
_space_group_name_H-M_alt 'P m -3 m'
_space_group_IT_number 221
_space_group_name_Hall '-P 4 2 3'
_cell_length_a 6.5417
_cell_length_b 6.5417
_cell_length_c 6.5417
_cell_angle_alpha 90.00
_cell_angle_beta 90.00
_cell_angle_gamma 90.00
loop_
_atom_site_label
_atom_site_fract_x
_atom_site_fract_y
_atom_site_fract_z
Rb1 0.0000 0.0000 0.5000
Hg1 0.0000 0.0000 0.0000
Au1 0.5000 0.5000 0.5000
# **E**: -199.2 eV for the cell shown